The following is a PBE calculation of a relaxed CaP2O6 crystal, from Alexandria.

Cell: 7.1192 7.8363 17.2110 Å, 90.00 90.37 90.00°
Atoms (fractional coordinates):
Ca1 0.0159 0.1326 0.3296
Ca2 0.0159 0.3674 0.8296
Ca3 0.4743 0.6156 0.1029
Ca4 0.4743 0.8844 0.6029
Ca5 0.5257 0.1156 0.3971
Ca6 0.5257 0.3844 0.8971
Ca7 0.9841 0.6326 0.1704
Ca8 0.9841 0.8674 0.6704
P1 0.1386 0.2002 0.5377
P2 0.1386 0.2998 0.0377
P3 0.2185 0.0118 0.1469
P4 0.2185 0.4882 0.6469
P5 0.2668 0.7112 0.9116
P6 0.2668 0.7888 0.4116
P7 0.3726 0.5018 0.3061
P8 0.3726 0.9982 0.8061
P9 0.6274 0.0018 0.1939
P10 0.6274 0.4982 0.6939
P11 0.7332 0.2112 0.5884
P12 0.7332 0.2888 0.0884
P13 0.7815 0.5118 0.3531
P14 0.7815 0.9882 0.8531
P15 0.8614 0.7002 0.9623
P16 0.8614 0.7998 0.4623
O1 0.0634 0.0722 0.1982
O2 0.0634 0.4278 0.6982
O3 0.0827 0.7391 0.9626
O4 0.0827 0.7609 0.4626
O5 0.1798 0.0555 0.5931
O6 0.1798 0.4445 0.0931
O7 0.1937 0.1809 0.4543
O8 0.1937 0.3191 0.9543
O9 0.2207 0.6729 0.6222
O10 0.2207 0.8271 0.1222
O11 0.2281 0.1228 0.0679
O12 0.2281 0.3772 0.5679
O13 0.2404 0.5886 0.8448
O14 0.2404 0.9114 0.3448
O15 0.2937 0.5966 0.3825
O16 0.2937 0.9034 0.8825
O17 0.3008 0.5754 0.2313
O18 0.3008 0.9246 0.7313
O19 0.3468 0.1856 0.8214
O20 0.3468 0.3144 0.3214
O21 0.4106 0.0594 0.1902
O22 0.4106 0.4406 0.6902
O23 0.4238 0.6618 0.9665
O24 0.4238 0.8382 0.4665
O25 0.5762 0.1618 0.5335
O26 0.5762 0.3382 0.0335
O27 0.5894 0.5594 0.3098
O28 0.5894 0.9406 0.8098
O29 0.6532 0.6856 0.6786
O30 0.6532 0.8144 0.1786
O31 0.6992 0.0754 0.2687
O32 0.6992 0.4246 0.7687
O33 0.7063 0.0966 0.1175
O34 0.7063 0.4034 0.6175
O35 0.7596 0.0886 0.6552
O36 0.7596 0.4114 0.1552
O37 0.7719 0.6228 0.4321
O38 0.7719 0.8772 0.9321
O39 0.7793 0.1729 0.8778
O40 0.7793 0.3271 0.3778
O41 0.8063 0.6809 0.0457
O42 0.8063 0.8191 0.5457
O43 0.8202 0.5555 0.9069
O44 0.8202 0.9445 0.4069
O45 0.9173 0.2391 0.5374
O46 0.9173 0.2609 0.0374
O47 0.9366 0.5722 0.3018
O48 0.9366 0.9278 0.8018

Values from the calculation:
Symmetry: P2_1/c (14)

---

The following is a PBE calculation of a relaxed CaPO4 crystal, from Alexandria.

Cell: 6.8346 7.0472 7.0765 Å, 100.65 91.66 99.30°
Atoms (fractional coordinates):
Ca1 0.0706 0.2308 0.1886
Ca2 0.3459 0.1527 0.6751
Ca3 0.6541 0.8473 0.3249
Ca4 0.9294 0.7692 0.8114
P1 0.1095 0.7829 0.3030
P2 0.4544 0.7135 0.7969
P3 0.5456 0.2865 0.2031
P4 0.8905 0.2171 0.6970
O1 0.0125 0.8733 0.1482
O2 0.0251 0.1938 0.5212
O3 0.1182 0.5657 0.2369
O4 0.2909 0.8396 0.7964
O5 0.3220 0.8973 0.3677
O6 0.3635 0.4952 0.7614
O7 0.4026 0.2626 0.3696
O8 0.4101 0.2304 0.0161
O9 0.5899 0.7696 0.9839
O10 0.5974 0.7374 0.6304
O11 0.6365 0.5048 0.2386
O12 0.6780 0.1027 0.6323
O13 0.7091 0.1604 0.2036
O14 0.8818 0.4343 0.7631
O15 0.9749 0.8062 0.4788
O16 0.9875 0.1267 0.8518

Values from the calculation:
Symmetry: P-1 (2)

---

no.,N(E_F) (states/eV/cell),formation energy without anion corrections (eV/atom),uncorrected energy (eV/cell)
1,0.000,-2.5056,-520.97
2,6.651,-2.3895,-166.33